(1)
## CaMgTc2 (GGA-PBE)

Data for a relaxed CaMgTc2 crystal.

The structure in CIF format:
```
data_CaMgTc2
_chemical_formula_sum 'Ca2 Mg2 Tc4'
_space_group_name_H-M_alt 'C 1 2/m 1'
_space_group_IT_number 12
_space_group_name_Hall '-C 2y'
_cell_length_a 9.724
_cell_length_b 3.823
_cell_length_c 5.226
_cell_angle_alpha 90.00
_cell_angle_beta 112.39
_cell_angle_gamma 90.00
loop_
_atom_site_label
_atom_site_type_symbol
_atom_site_fract_x
_atom_site_fract_y
_atom_site_fract_z
_atom_site_occupancy
Ca1 Ca 0.000 0.000 0.000 1
Mg1 Mg 0.000 0.500 0.500 1
Tc1 Tc 0.237 0.000 0.621 1
```

Calculated values
For the calculated volume, the calculation gives 179.6 Å³ per cell. Its formation energy is 9.98 kcal/mol of atoms.

***

(2)
## SmCu3As3 (GGA-PBE)

Data for a relaxed SmCu3As3 crystal.

The structure in CIF format:
```
data_SmCu3As3
_chemical_formula_sum 'Sm2 Cu6 As6'
_space_group_name_H-M_alt 'P m -3 n'
_space_group_IT_number 223
_space_group_name_Hall '-P 4n 2 3'
_cell_length_a 6.594
_cell_length_b 6.594
_cell_length_c 6.594
_cell_angle_alpha 90.00
_cell_angle_beta 90.00
_cell_angle_gamma 90.00
loop_
_atom_site_label
_atom_site_type_symbol
_atom_site_fract_x
_atom_site_fract_y
_atom_site_fract_z
_atom_site_occupancy
Sm1 Sm 0.000 0.000 0.000 1
Cu1 Cu 0.000 0.250 0.500 1
As1 As 0.000 0.500 0.250 1
```

Calculated values
For the calculated volume, the calculation gives 286.7 Å³ per cell. Its formation energy is -2.77 kcal/mol of atoms.